1.
This record from the Alexandria database describes a relaxed structure of NdLu2Mg. The functional is PBE.

energy above the lowest structure with this stoichiometry: 42.4 meV per atom
magnetic moment: 0.000 μB/atom
calculated formation energy: 10 kJ/mol of formula units
calculated volume: 117.5 Å³/cell

Unit cell a=4.9630 b=4.8648 c=4.8648 alpha=90.00 beta=90.00 gamma=90.00
Last column: nearest neighbours and their distance in Å.
Fractional coordinates of all 4 atoms:
Mg  0.5000  0.5000  0.5000  4 Nd 3.44, 8 Lu 3.47
Lu  0.0000  0.0000  0.5000  4 Lu 3.44, 4 Mg 3.47, 4 Nd 3.47
Lu  0.0000  0.5000  0.0000  4 Lu 3.44, 4 Mg 3.47, 4 Nd 3.47
Nd  0.5000  0.0000  0.0000  4 Mg 3.44, 8 Lu 3.47

***

2.
This record from the Alexandria database describes a relaxed structure of NdLuMgOs. The functional is PBE.

magnetic moment: 0.000 μB/atom
calculated formation energy: -32 kJ/mol of formula units
calculated volume: 89.9 Å³/cell

Unit cell a=5.0282 b=5.0282 c=5.0282 alpha=60.00 beta=60.00 gamma=60.00
Last column: nearest neighbours and their distance in Å.
Fractional coordinates of all 4 atoms:
Os  0.5000  0.5000  0.5000  4 Nd 3.08, 4 Lu 3.08
Mg  0.0000  0.0000  0.0000  4 Nd 3.08, 4 Lu 3.08
Lu  0.2500  0.2500  0.2500  4 Os 3.08, 4 Mg 3.08
Nd  0.7500  0.7500  0.7500  4 Mg 3.08, 4 Os 3.08

***

3.
This record from the Alexandria database describes a relaxed structure of NdLuMgPa. The functional is PBE.

magnetic moment: 0.000 μB/atom
calculated formation energy: 135 kJ/mol of formula units
calculated volume: 111.2 Å³/cell

Unit cell a=5.3977 b=5.3977 c=5.3977 alpha=60.00 beta=60.00 gamma=60.00
Last column: nearest neighbours and their distance in Å.
Fractional coordinates of all 4 atoms:
Nd  0.2500  0.2500  0.2500  4 Mg 3.31, 4 Pa 3.31
Mg  0.0000  0.0000  0.0000  4 Lu 3.31, 4 Nd 3.31
Pa  0.5000  0.5000  0.5000  4 Nd 3.31, 4 Lu 3.31
Lu  0.7500  0.7500  0.7500  4 Pa 3.31, 4 Mg 3.31